Entry 1:
Entry from Alexandria via LeMat-Bulk: a relaxed BaGaRu crystal (PBE).

Computed properties:
**Total DFT energy (no corrections)**: -4.804 eV per atom
**E_form**: -1.43 kcal/mol of atoms
**Calculated volume**: 80 Å³ per cell
**Size of the total moment**: 0.00 μB per formula unit

POSCAR file:
```
BaGaRu
1.0
4.975 0.000 0.000
0.000 4.299 0.000
0.000 -2.149 3.723
Ru Ba Ga
1 1 1
direct
0.167 0.667 0.333 Ru
0.667 0.333 0.667 Ba
0.167 0.000 0.000 Ga
```



Entry 2:
Entry from Alexandria via LeMat-Bulk: a relaxed BaGa3Ru crystal (PBE).

Computed properties:
**Offset from the most stable computed form**: 93 meV per atom
**Total DFT energy (no corrections)**: -4.440 eV per atom
**E_form**: -8.86 kcal/mol of atoms
**Calculated volume**: 220 Å³ per cell
**Size of the total moment**: 0.00 μB per formula unit

POSCAR file:
```
BaGa3Ru
1.0
4.238 0.000 0.002
2.119 9.314 -0.017
-0.004 1.860 5.567
Ga Ru Ba
6 2 2
direct
0.779 0.441 0.590 Ga
0.662 0.673 0.747 Ga
0.662 0.673 0.200 Ga
0.072 0.854 0.657 Ga
0.071 0.855 0.110 Ga
0.956 0.087 0.267 Ga
0.549 0.900 0.361 Ru
0.185 0.628 0.497 Ru
0.298 0.403 0.109 Ba
0.437 0.125 0.748 Ba
```



Entry 3:
Entry from Alexandria via LeMat-Bulk: a relaxed BaGa3Ru crystal (PBE).

Computed properties:
**Offset from the most stable computed form**: 104 meV per atom
**Total DFT energy (no corrections)**: -4.429 eV per atom
**E_form**: -8.61 kcal/mol of atoms
**Calculated volume**: 238 Å³ per cell
**Size of the total moment**: 0.00 μB per formula unit

POSCAR file:
```
BaGa3Ru
1.0
4.929 -0.002 0.005
2.398 9.930 -0.012
0.297 -0.575 4.865
Ba Ga Ru
2 6 2
direct
0.889 0.436 0.320 Ba
0.375 0.092 0.282 Ba
0.816 0.665 0.874 Ga
0.448 0.862 0.728 Ga
0.986 0.865 0.195 Ga
0.277 0.664 0.406 Ga
0.441 0.378 0.826 Ga
0.822 0.150 0.775 Ga
0.933 0.902 0.710 Ru
0.330 0.626 0.892 Ru
```



Entry 4:
Entry from Alexandria via LeMat-Bulk: a relaxed BaGa3Ru crystal (PBE).

Computed properties:
**Offset from the most stable computed form**: 607 meV per atom
**Total DFT energy (no corrections)**: -3.927 eV per atom
**E_form**: 2.98 kcal/mol of atoms
**Calculated volume**: 139 Å³ per cell
**Size of the total moment**: 0.00 μB per formula unit

POSCAR file:
```
BaGa3Ru
1.0
3.453 0.000 0.000
0.000 2.693 -7.448
0.000 2.693 7.448
Ga Ba Ru
3 1 1
direct
0.000 0.288 0.712 Ga
0.500 0.660 0.880 Ga
0.500 0.120 0.340 Ga
0.500 0.093 0.907 Ba
0.000 0.467 0.533 Ru
```



Entry 5:
Entry from Alexandria via LeMat-Bulk: a relaxed BaGa3Ru crystal (PBE).

Computed properties:
**Offset from the most stable computed form**: 333 meV per atom
**Total DFT energy (no corrections)**: -4.201 eV per atom
**E_form**: -3.34 kcal/mol of atoms
**Calculated volume**: 233 Å³ per cell
**Size of the total moment**: 0.00 μB per formula unit

POSCAR file:
```
BaGa3Ru
1.0
-6.488 0.824 0.550
-3.322 -5.544 -1.141
-2.391 -2.651 5.507
Ga Ba Ru
6 2 2
direct
0.523 0.841 0.173 Ga
0.159 0.827 0.477 Ga
0.477 0.159 0.827 Ga
0.173 0.523 0.841 Ga
0.841 0.173 0.523 Ga
0.827 0.477 0.159 Ga
0.664 0.664 0.664 Ba
0.336 0.336 0.336 Ba
0.079 0.079 0.079 Ru
0.921 0.921 0.921 Ru
```



Entry 6:
Entry from Alexandria via LeMat-Bulk: a relaxed BaGa3Ru crystal (PBE).

Computed properties:
**Offset from the most stable computed form**: 404 meV per atom
**Total DFT energy (no corrections)**: -4.129 eV per atom
**E_form**: -1.69 kcal/mol of atoms
**Calculated volume**: 213 Å³ per cell
**Size of the total moment**: 0.29 μB per formula unit

POSCAR file:
```
BaGa3Ru
1.0
-2.923 1.606 3.630
-1.767 -0.425 -4.582
-2.801 -9.540 1.966
Ru Ba Ga
2 2 6
direct
0.000 0.000 0.500 Ru
0.000 0.000 0.000 Ru
0.667 0.333 0.250 Ba
0.333 0.667 0.750 Ba
0.333 0.667 0.433 Ga
0.667 0.333 0.933 Ga
0.000 0.000 0.250 Ga
0.667 0.333 0.567 Ga
0.000 0.000 0.750 Ga
0.333 0.667 0.067 Ga
```



Entry 7:
Entry from Alexandria via LeMat-Bulk: a relaxed BaGa4Ru crystal (PBE).

Computed properties:
**Total DFT energy (no corrections)**: -4.109 eV per atom
**E_form**: -5.18 kcal/mol of atoms
**Calculated volume**: 166 Å³ per cell
**Size of the total moment**: 0.00 μB per formula unit

POSCAR file:
```
BaGa4Ru
1.0
4.824 0.000 0.000
0.000 4.824 0.000
0.000 0.000 7.141
Ga Ba Ru
4 1 1
direct
0.500 0.500 0.166 Ga
0.500 0.000 0.500 Ga
0.500 0.500 0.834 Ga
0.000 0.500 0.500 Ga
0.000 0.000 0.000 Ba
0.500 0.500 0.500 Ru
```



Entry 8:
Entry from Alexandria via LeMat-Bulk: a relaxed BaGa3Ru crystal (PBE).

Computed properties:
**Offset from the most stable computed form**: 552 meV per atom
**Total DFT energy (no corrections)**: -3.982 eV per atom
**E_form**: 1.71 kcal/mol of atoms
**Calculated volume**: 138 Å³ per cell
**Size of the total moment**: 0.00 μB per formula unit

POSCAR file:
```
BaGa3Ru
1.0
-3.980 -0.387 -0.201
-0.040 -1.519 3.704
-0.931 7.897 3.229
Ru Ga Ba
1 3 1
direct
0.500 0.500 0.341 Ru
0.500 0.000 0.516 Ga
0.000 0.500 0.516 Ga
0.000 0.000 0.743 Ga
0.000 0.000 0.146 Ba
```



Entry 9:
Entry from Alexandria via LeMat-Bulk: a relaxed BaGaRu3 crystal (PBE).

Computed properties:
**Offset from the most stable computed form**: 0 meV per atom
**Total DFT energy (no corrections)**: -5.647 eV per atom
**E_form**: 20.94 kcal/mol of atoms
**Calculated volume**: 107 Å³ per cell
**Size of the total moment**: 2.58 μB per formula unit

POSCAR file:
```
BaGaRu3
1.0
-1.248 -3.820 -2.536
4.450 -0.376 -1.623
1.104 -2.801 3.677
Ru Ba Ga
3 1 1
direct
0.000 0.000 0.500 Ru
0.500 0.000 0.000 Ru
0.000 0.500 0.000 Ru
0.500 0.500 0.500 Ba
0.000 0.000 0.000 Ga
```



Entry 10:
Entry from Alexandria via LeMat-Bulk: a relaxed BaGa3Ru crystal (PBE).

Computed properties:
**Offset from the most stable computed form**: 320 meV per atom
**Total DFT energy (no corrections)**: -4.214 eV per atom
**E_form**: -3.64 kcal/mol of atoms
**Calculated volume**: 233 Å³ per cell
**Size of the total moment**: 0.00 μB per formula unit

POSCAR file:
```
BaGa3Ru
1.0
-3.569 3.011 5.686
-3.139 -1.655 -6.446
-1.163 -4.751 1.786
Ru Ga Ba
2 6 2
direct
0.157 0.843 0.250 Ru
0.843 0.157 0.750 Ru
0.097 0.556 0.750 Ga
0.556 0.097 0.250 Ga
0.444 0.903 0.750 Ga
0.903 0.444 0.250 Ga
0.000 0.000 0.000 Ga
0.000 0.000 0.500 Ga
0.586 0.414 0.750 Ba
0.414 0.586 0.250 Ba
```



Entry 11:
Entry from Alexandria via LeMat-Bulk: a relaxed BaGa3Ru crystal (PBE).

Computed properties:
**Offset from the most stable computed form**: 648 meV per atom
**Total DFT energy (no corrections)**: -3.886 eV per atom
**E_form**: 3.92 kcal/mol of atoms
**Calculated volume**: 302 Å³ per cell
**Size of the total moment**: 0.00 μB per formula unit

POSCAR file:
```
BaGa3Ru
1.0
3.644 -2.104 0.000
0.000 4.208 0.000
0.000 0.000 19.671
Ga Ba Ru
6 2 2
direct
0.000 0.000 0.750 Ga
0.667 0.333 0.129 Ga
0.667 0.333 0.371 Ga
0.000 0.000 0.250 Ga
0.333 0.667 0.629 Ga
0.333 0.667 0.871 Ga
0.000 0.000 0.000 Ba
0.000 0.000 0.500 Ba
0.333 0.667 0.750 Ru
0.667 0.333 0.250 Ru
```



Entry 12:
Entry from Alexandria via LeMat-Bulk: a relaxed BaGa3Ru crystal (PBE).

Computed properties:
**Offset from the most stable computed form**: 72 meV per atom
**Total DFT energy (no corrections)**: -4.462 eV per atom
**E_form**: -9.36 kcal/mol of atoms
**Calculated volume**: 229 Å³ per cell
**Size of the total moment**: 0.00 μB per formula unit

POSCAR file:
```
BaGa3Ru
1.0
-7.029 -0.840 1.171
-2.266 -6.128 0.256
-3.241 1.456 6.130
Ga Ru Ba
6 2 2
direct
0.001 0.192 0.022 Ga
0.634 0.408 0.932 Ga
0.634 0.817 0.932 Ga
0.430 0.214 0.581 Ga
0.146 0.357 0.421 Ga
0.001 0.666 0.022 Ga
0.327 0.266 0.978 Ru
0.668 0.095 0.146 Ru
0.058 0.900 0.414 Ba
0.548 0.655 0.557 Ba
```



Entry 13:
Entry from Alexandria via LeMat-Bulk: a relaxed BaGa3Ru crystal (PBE).

Computed properties:
**Offset from the most stable computed form**: 0 meV per atom
**Total DFT energy (no corrections)**: -4.533 eV per atom
**E_form**: -11.01 kcal/mol of atoms
**Calculated volume**: 116 Å³ per cell
**Size of the total moment**: 0.00 μB per formula unit

POSCAR file:
```
BaGa3Ru
1.0
-3.731 -0.854 3.018
2.983 -2.415 3.004
0.969 4.146 2.372
Ru Ga Ba
1 3 1
direct
0.575 0.575 0.575 Ru
0.075 0.575 0.575 Ga
0.575 0.575 0.075 Ga
0.575 0.075 0.575 Ga
0.075 0.075 0.075 Ba
```



Entry 14:
Entry from Alexandria via LeMat-Bulk: a relaxed BaGaRu crystal (PBE).

Computed properties:
**Total DFT energy (no corrections)**: -4.970 eV per atom
**E_form**: -5.27 kcal/mol of atoms
**Calculated volume**: 179 Å³ per cell
**Size of the total moment**: 0.38 μB per formula unit

POSCAR file:
```
BaGaRu
1.0
4.644 0.000 0.000
0.000 4.644 0.000
0.000 0.000 8.316
Ba Ru Ga
2 2 2
direct
0.500 0.000 0.215 Ba
0.000 0.500 0.785 Ba
0.000 0.000 0.500 Ru
0.500 0.500 0.500 Ru
0.500 0.000 0.613 Ga
0.000 0.500 0.387 Ga
```



Entry 15:
Entry from Alexandria via LeMat-Bulk: a relaxed BaGa3Ru crystal (PBE).

Computed properties:
**Offset from the most stable computed form**: 251 meV per atom
**Total DFT energy (no corrections)**: -4.283 eV per atom
**E_form**: -5.23 kcal/mol of atoms
**Calculated volume**: 449 Å³ per cell
**Size of the total moment**: 0.00 μB per formula unit

POSCAR file:
```
BaGa3Ru
1.0
6.231 0.000 0.000
0.000 11.672 0.000
0.000 0.000 6.172
Ru Ba Ga
4 4 12
direct
0.763 0.250 0.281 Ru
0.737 0.750 0.781 Ru
0.263 0.250 0.219 Ru
0.237 0.750 0.719 Ru
0.500 0.000 0.000 Ba
0.000 0.000 0.500 Ba
0.500 0.500 0.000 Ba
0.000 0.500 0.500 Ba
0.015 0.627 0.981 Ga
0.985 0.127 0.019 Ga
0.308 0.250 0.809 Ga
0.515 0.627 0.519 Ga
0.485 0.127 0.481 Ga
0.485 0.373 0.481 Ga
0.692 0.750 0.191 Ga
0.985 0.373 0.019 Ga
0.808 0.250 0.691 Ga
0.192 0.750 0.309 Ga
0.015 0.873 0.981 Ga
0.515 0.873 0.519 Ga
```



Entry 16:
Entry from Alexandria via LeMat-Bulk: a relaxed BaGa3Ru crystal (PBE).

Computed properties:
**Offset from the most stable computed form**: 287 meV per atom
**Total DFT energy (no corrections)**: -4.246 eV per atom
**E_form**: -4.39 kcal/mol of atoms
**Calculated volume**: 602 Å³ per cell
**Size of the total moment**: 0.38 μB per formula unit

POSCAR file:
```
BaGa3Ru
1.0
0.000 6.703 6.703
6.703 0.000 6.703
6.703 6.703 0.000
Ru Ba Ga
4 4 12
direct
0.625 0.125 0.125 Ru
0.125 0.125 0.125 Ru
0.125 0.625 0.125 Ru
0.125 0.125 0.625 Ru
0.625 0.125 0.625 Ba
0.125 0.625 0.625 Ba
0.625 0.625 0.125 Ba
0.625 0.625 0.625 Ba
0.160 0.840 0.840 Ga
0.090 0.410 0.410 Ga
0.840 0.840 0.160 Ga
0.160 0.840 0.160 Ga
0.410 0.090 0.090 Ga
0.840 0.160 0.840 Ga
0.160 0.160 0.840 Ga
0.090 0.090 0.410 Ga
0.090 0.410 0.090 Ga
0.840 0.160 0.160 Ga
0.410 0.410 0.090 Ga
0.410 0.090 0.410 Ga
```



Entry 17:
Entry from Alexandria via LeMat-Bulk: a relaxed BaGa2Ru2 crystal (PBE).

Computed properties:
**Total DFT energy (no corrections)**: -5.447 eV per atom
**E_form**: -3.27 kcal/mol of atoms
**Calculated volume**: 108 Å³ per cell
**Size of the total moment**: 0.70 μB per formula unit

POSCAR file:
```
BaGa2Ru2
1.0
-3.024 0.213 3.165
2.254 -2.933 2.351
2.466 2.791 5.203
Ga Ru Ba
2 2 1
direct
0.357 0.357 0.285 Ga
0.643 0.643 0.715 Ga
0.750 0.250 0.500 Ru
0.250 0.750 0.500 Ru
0.000 0.000 0.000 Ba
```



Entry 18:
Entry from Alexandria via LeMat-Bulk: a relaxed Ba3GaRu crystal (PBE).

Computed properties:
**Offset from the most stable computed form**: 0 meV per atom
**Total DFT energy (no corrections)**: -3.382 eV per atom
**E_form**: 5.36 kcal/mol of atoms
**Calculated volume**: 198 Å³ per cell
**Size of the total moment**: 0.06 μB per formula unit

POSCAR file:
```
Ba3GaRu
1.0
5.826 0.000 0.000
0.000 5.826 0.000
0.000 0.000 5.826
Ru Ba Ga
1 3 1
direct
0.000 0.000 0.000 Ru
0.500 0.000 0.000 Ba
0.000 0.500 0.000 Ba
0.000 0.000 0.500 Ba
0.500 0.500 0.500 Ga
```



Entry 19:
Entry from Alexandria via LeMat-Bulk: a relaxed BaGa3Ru crystal (PBE).

Computed properties:
**Offset from the most stable computed form**: 194 meV per atom
**Total DFT energy (no corrections)**: -4.340 eV per atom
**E_form**: -6.55 kcal/mol of atoms
**Calculated volume**: 242 Å³ per cell
**Size of the total moment**: 0.00 μB per formula unit

POSCAR file:
```
BaGa3Ru
1.0
0.443 3.865 3.151
4.790 -3.127 3.161
5.076 3.872 -3.861
Ga Ba Ru
6 2 2
direct
0.257 0.459 0.954 Ga
0.257 0.041 0.954 Ga
0.743 0.959 0.046 Ga
0.559 0.750 0.739 Ga
0.441 0.250 0.261 Ga
0.743 0.541 0.046 Ga
0.191 0.750 0.355 Ba
0.809 0.250 0.645 Ba
0.045 0.750 0.802 Ru
0.955 0.250 0.198 Ru
```



Entry 20:
Entry from Alexandria via LeMat-Bulk: a relaxed BaGa3Ru crystal (PBE).

Computed properties:
**Offset from the most stable computed form**: 130 meV per atom
**Total DFT energy (no corrections)**: -4.404 eV per atom
**E_form**: -8.02 kcal/mol of atoms
**Calculated volume**: 223 Å³ per cell
**Size of the total moment**: 0.00 μB per formula unit

POSCAR file:
```
BaGa3Ru
1.0
4.355 -0.001 -0.002
2.184 9.548 -0.019
0.004 1.635 5.365
Ru Ga Ba
2 6 2
direct
0.848 0.831 0.833 Ru
0.415 0.697 0.241 Ru
0.973 0.583 0.147 Ga
0.709 0.110 0.825 Ga
0.863 0.801 0.385 Ga
0.555 0.418 0.248 Ga
0.291 0.945 0.927 Ga
0.401 0.727 0.689 Ga
0.057 0.413 0.729 Ba
0.206 0.114 0.345 Ba
```